[1]
## AcNiB2Ru (PBE-GGA)

Data for a relaxed structure of AcNiB2Ru.

Output
The formation energy comes out at -409 meV/atom. For the mass density, the calculation gives 8.8 Mg/m³. As for the crystal system: tetragonal. The value obtained for the density of states at the Fermi level is 4.2 states/eV per cell.

Unit cell a=3.7674 b=3.7674 c=10.8648 alpha=90.00 beta=90.00 gamma=90.00
Closest atoms and distances in Å follow each position.
Space group I-4m2 (No. 119)
Unique sites:
1 Ac 0.0000 0.0000 0.0000 [2 per cell]  8 B 3.22, 4 Ni 3.31, 4 Ru 3.31
2 Ni 0.0000 0.5000 0.2500 [2 per cell]  4 B 2.09
3 B 0.0000 0.0000 0.3335 [4 per cell]  2 Ru 2.09, 2 Ni 2.09
4 Ru 0.0000 0.5000 0.7500 [2 per cell]  4 B 2.09

---

[2]
## AcSiNi3B (PBE-GGA)

Data for a relaxed structure of AcSiNi3B.

Output
The calculation puts the formation energy (no corrections) at -0.45 eV per atom. For the mass density, the calculation gives 8.1 Mg/m³. As for the crystal system: orthorhombic. The value obtained for the density of states at the Fermi level is 10.7 states/eV per cell.

Unit cell a=5.3763 b=10.9536 c=6.1664 alpha=90.00 beta=90.00 gamma=90.00
Closest atoms and distances in Å follow each position.
Space group Cmcm (No. 63)
Unique sites:
1 Ac 0.0000 0.2275 0.2500 [4 per cell]  2 Ni 2.74, 1 B 2.98
2 Si 0.0000 0.1044 0.7500 [4 per cell]  5 Ni 2.36-2.40
3 Ni 0.0000 0.3201 0.7500 [4 per cell]  1 B 1.97
4 Ni 0.2330 0.5000 0.0000 [8 per cell]  2 B 1.99
5 B 0.0000 0.5000 0.2500 [4 per cell]  5 Ni 1.97-1.99

---

[3]
## AcZnNi3B (PBE-GGA)

Data for a relaxed structure of AcZnNi3B.

Output
The formation energy comes out at -260 meV/atom. For the mass density, the calculation gives 8.3 Mg/m³. As for the crystal system: orthorhombic. The value obtained for the density of states at the Fermi level is 17.6 states/eV per cell.

Unit cell a=5.5620 b=11.2380 c=6.1132 alpha=90.00 beta=90.00 gamma=90.00
Closest atoms and distances in Å follow each position.
Space group Cmcm (No. 63)
Unique sites:
1 Ac 0.0000 0.2288 0.2500 [4 per cell]  2 Ni 2.85, 1 B 3.03
2 Zn 0.0000 0.1079 0.7500 [4 per cell]  5 Ni 2.48-2.50
3 Ni 0.0000 0.3281 0.7500 [4 per cell]  1 B 1.95
4 Ni 0.2203 0.5000 0.0000 [8 per cell]  2 B 1.96
5 B 0.0000 0.4982 0.2500 [4 per cell]  5 Ni 1.95-1.96

---

[4]
## Ac2ZnNi12B3 (PBE-GGA)

Data for a relaxed structure of Ac2ZnNi12B3.

Output
The formation energy comes out at -31 meV/atom. For the mass density, the calculation gives 8.0 Mg/m³. As for the crystal system: trigonal. The value obtained for the density of states at the Fermi level is 23.5 states/eV per cell.

Unit cell a=7.3805 b=7.3805 c=16.5858 alpha=90.00 beta=90.00 gamma=120.00
Closest atoms and distances in Å follow each position.
Space group R-3m (No. 166, hexagonal axes)
Unique sites:
1 Ac 0.0000 0.0000 0.1115 [6 per cell]  6 Ni 2.80-3.09
2 Zn 0.0000 0.0000 0.5000 [3 per cell]  6 Ni 2.28
3 Ni 0.0040 0.5020 0.1140 [18 per cell]  1 B 1.89
4 Ni 0.0749 0.5375 0.3450 [18 per cell]  2 B 1.95
5 B 0.0000 0.5000 0.0000 [9 per cell]  6 Ni 1.89-1.95

---

[5]
## Ac3NpB4O12 (PBE-GGA)

Data for a relaxed structure of Ac3NpB4O12.

Output
The calculation puts the formation energy (no corrections) at -2.89 eV per atom. For the mass density, the calculation gives 6.3 Mg/m³. As for the crystal system: trigonal. The value obtained for the density of states at the Fermi level is 12.0 states/eV per cell.

Unit cell a=10.5733 b=10.5733 c=9.4047 alpha=90.00 beta=90.00 gamma=120.00
Closest atoms and distances in Å follow each position.
Space group R32 (No. 155, hexagonal axes)
Unique sites:
1 Ac 0.0000 0.5141 0.0000 [9 per cell]  6 O 2.49-2.55
2 Np 0.0000 0.0000 0.0000 [3 per cell]  6 O 2.49
3 B 0.0000 0.0000 0.5000 [3 per cell]  3 O 1.38
4 B 0.0000 0.4857 0.5000 [9 per cell]  3 O 1.38-1.40
5 O 0.0000 0.6157 0.5000 [9 per cell]  1 B 1.38
6 O 0.0000 0.8698 0.5000 [9 per cell]  1 B 1.38
7 O 0.0218 0.1997 0.8424 [18 per cell]  1 B 1.40

---

[6]
## AcNpB2O8 (PBE-GGA)

Data for a relaxed structure of AcNpB2O8.

Output
The calculation puts the formation energy (no corrections) at -2.55 eV per atom. For the mass density, the calculation gives 6.3 Mg/m³. As for the crystal system: trigonal. The value obtained for the density of states at the Fermi level is 7.1 states/eV per cell.

Unit cell a=5.0611 b=5.0611 c=7.2638 alpha=90.00 beta=90.00 gamma=120.00
Closest atoms and distances in Å follow each position.
Space group P-3m1 (No. 164)
Unique sites:
1 Ac 0.0000 0.0000 0.0000 [1 per cell]  12 O 2.77-2.94
2 Np 0.0000 0.0000 0.5000 [1 per cell]  6 O 2.03
3 B 0.3333 0.6667 0.2371 [2 per cell]  4 O 1.39-1.50
4 O 0.1753 0.3506 0.3167 [6 per cell]  1 B 1.50
5 O 0.3333 0.6667 0.0451 [2 per cell]  1 B 1.39

---

Number 1: raw total energy -34.57 eV per formula unit, calculated volume 154 Å³/cell. Number 2: raw total energy -36.26 eV per formula unit, calculated volume 363 Å³/cell. Number 3: raw total energy -30.96 eV per formula unit, calculated volume 382 Å³/cell. Number 4: raw total energy -99.46 eV per formula unit, calculated volume 782 Å³/cell. Number 5: raw total energy -169.28 eV per formula unit, calculated volume 911 Å³/cell. Number 6: raw total energy -100.71 eV per formula unit, calculated volume 161 Å³/cell.